Material: TbHoH2Br4
Method: DFT, GGA-PBE
State: optimized geometry

**Raw total energy**: -34.79 eV per formula unit

Lattice parameters (Å, degrees): 3.8302 3.8302 14.7934 90.00 90.00 120.00
Atoms (fractional coordinates):
Br  0.3333  0.6667  0.8713
Br  0.6667  0.3333  0.6299
Br  0.6667  0.3333  0.3701
Br  0.3333  0.6667  0.1287
H  0.6667  0.3333  0.0000
H  0.3333  0.6667  0.5000
Ho  0.0000  0.0000  0.0000
Tb  0.0000  0.0000  0.5000